Arrangement P

The following is a DFT calculation (GGA-PBE) of a relaxed Er4GaHg3 crystal. Values from VASP.

M_tot	0.00	μB/atom

Quantum ESPRESSO input file:
```
&SYSTEM
  ibrav = 0, nat = 8, ntyp = 3
/
ATOMIC_SPECIES
Er 167.26 Er.upf
Ga 69.72 Ga.upf
Hg 200.59 Hg.upf
ATOMIC_POSITIONS crystal
Er 0.0000 0.0000 0.1433
Er 0.5000 0.0000 0.6446
Er 0.5000 0.5000 0.3493
Er 0.0000 0.5000 0.8593
Ga 0.5000 0.5000 0.0848
Hg 0.5000 0.0000 0.9176
Hg 0.0000 0.0000 0.4117
Hg 0.0000 0.5000 0.5895
CELL_PARAMETERS angstrom
-0.4016 -3.3831 1.7766
3.7993 -1.5694 -2.1297
6.3907 3.7694 8.6227
```

Arrangement Q

The following is a DFT calculation (GGA-PBE) of a relaxed Er4GaHg3 crystal. Values from VASP.

M_tot	0.00	μB/atom

Quantum ESPRESSO input file:
```
&SYSTEM
  ibrav = 0, nat = 8, ntyp = 3
/
ATOMIC_SPECIES
Er 167.26 Er.upf
Ga 69.72 Ga.upf
Hg 200.59 Hg.upf
ATOMIC_POSITIONS crystal
Er 0.0000 0.0000 0.1170
Er 0.0000 0.0000 0.8830
Er 0.0000 0.0000 0.3721
Er 0.0000 0.0000 0.6279
Ga 0.5000 0.5000 0.0000
Hg 0.5000 0.5000 0.7549
Hg 0.5000 0.5000 0.5000
Hg 0.5000 0.5000 0.2451
CELL_PARAMETERS angstrom
3.6457 0.0000 0.0000
0.0000 3.6457 0.0000
0.0000 0.0000 14.6998
```

Least stable = arrangement P

Arrangement P

The following is a DFT calculation (GGA-PBE) of a relaxed HoErGaHg crystal. Values from VASP.

M_tot	0.00	μB/atom

Quantum ESPRESSO input file:
```
&SYSTEM
  ibrav = 0, nat = 4, ntyp = 4
/
ATOMIC_SPECIES
Ho 164.93 Ho.upf
Hg 200.59 Hg.upf
Er 167.26 Er.upf
Ga 69.72 Ga.upf
ATOMIC_POSITIONS crystal
Ho 0.5000 0.5000 0.5000
Hg 0.7500 0.7500 0.7500
Er 0.0000 0.0000 0.0000
Ga 0.2500 0.2500 0.2500
CELL_PARAMETERS angstrom
-2.3678 0.7952 -4.4983
-3.0081 -3.6605 -2.0063
-5.1015 0.6538 -0.1416
```

Arrangement Q

The following is a DFT calculation (GGA-PBE) of a relaxed HoErGaHg crystal. Values from VASP.

M_tot	0.00	μB/atom

Quantum ESPRESSO input file:
```
&SYSTEM
  ibrav = 0, nat = 4, ntyp = 4
/
ATOMIC_SPECIES
Ho 164.93 Ho.upf
Ga 69.72 Ga.upf
Hg 200.59 Hg.upf
Er 167.26 Er.upf
ATOMIC_POSITIONS crystal
Ho 0.0000 0.0000 0.8433
Ga 0.5000 0.5000 0.6054
Hg 0.5000 0.5000 0.1094
Er 0.0000 0.0000 0.3699
CELL_PARAMETERS angstrom
-1.1442 -0.0607 -3.4122
1.4164 -3.2827 -0.4166
-6.3485 -3.0162 2.1825
```

Least stable = arrangement P

Arrangement P

The following is a DFT calculation (GGA-PBE) of a relaxed ErInGaHg crystal. Values from VASP.

M_tot	0.00	μB/atom

Quantum ESPRESSO input file:
```
&SYSTEM
  ibrav = 0, nat = 4, ntyp = 4
/
ATOMIC_SPECIES
Hg 200.59 Hg.upf
In 114.82 In.upf
Er 167.26 Er.upf
Ga 69.72 Ga.upf
ATOMIC_POSITIONS crystal
Hg 0.5000 0.0000 0.5000
In 0.0000 0.5000 0.5000
Er 0.5000 0.5000 0.0000
Ga 0.0000 0.0000 0.0000
CELL_PARAMETERS angstrom
-0.1731 3.4654 -2.7619
2.0689 -2.3512 -3.0798
-4.0642 -1.4790 -1.6011
```

Arrangement Q

The following is a DFT calculation (GGA-PBE) of a relaxed ErInGaHg crystal. Values from VASP.

M_tot	0.00	μB/atom

Quantum ESPRESSO input file:
```
&SYSTEM
  ibrav = 0, nat = 4, ntyp = 4
/
ATOMIC_SPECIES
Er 167.26 Er.upf
In 114.82 In.upf
Hg 200.59 Hg.upf
Ga 69.72 Ga.upf
ATOMIC_POSITIONS crystal
Er 0.0000 0.0000 0.0000
In 0.5000 0.5000 0.5000
Hg 0.2500 0.2500 0.2500
Ga 0.7500 0.7500 0.7500
CELL_PARAMETERS angstrom
-4.4489 0.3128 -2.4416
-4.1834 -2.0161 2.0704
-3.6701 3.0342 1.7821
```

Least stable = arrangement Q

Arrangement P

The following is a DFT calculation (GGA-PBE) of a relaxed PmErGaHg crystal. Values from VASP.

M_tot	0.00	μB/atom

Quantum ESPRESSO input file:
```
&SYSTEM
  ibrav = 0, nat = 4, ntyp = 4
/
ATOMIC_SPECIES
Er 167.26 Er.upf
Ga 69.72 Ga.upf
Pm 145.00 Pm.upf
Hg 200.59 Hg.upf
ATOMIC_POSITIONS crystal
Er 0.0000 0.0000 0.3685
Ga 0.5000 0.5000 0.5939
Pm 0.0000 0.0000 0.8399
Hg 0.5000 0.5000 0.1255
CELL_PARAMETERS angstrom
3.6357 0.0000 0.0000
0.0000 3.6357 0.0000
0.0000 0.0000 7.5354
```

Arrangement Q

The following is a DFT calculation (GGA-PBE) of a relaxed PmErGaHg crystal. Values from VASP.

M_tot	0.00	μB/atom

Quantum ESPRESSO input file:
```
&SYSTEM
  ibrav = 0, nat = 4, ntyp = 4
/
ATOMIC_SPECIES
Ga 69.72 Ga.upf
Pm 145.00 Pm.upf
Er 167.26 Er.upf
Hg 200.59 Hg.upf
ATOMIC_POSITIONS crystal
Ga 0.2500 0.2500 0.2500
Pm 0.0000 0.0000 0.0000
Er 0.5000 0.5000 0.5000
Hg 0.7500 0.7500 0.7500
CELL_PARAMETERS angstrom
-3.2883 2.7229 3.0169
-4.5936 -2.0713 1.3919
-0.8168 -1.4567 4.9537
```

Least stable = arrangement Q

Arrangement P

The following is a DFT calculation (GGA-PBE) of a relaxed PrErGaHg crystal. Values from VASP.

M_tot	0.00	μB/atom

Quantum ESPRESSO input file:
```
&SYSTEM
  ibrav = 0, nat = 4, ntyp = 4
/
ATOMIC_SPECIES
Pr 140.91 Pr.upf
Er 167.26 Er.upf
Ga 69.72 Ga.upf
Hg 200.59 Hg.upf
ATOMIC_POSITIONS crystal
Pr 0.5000 0.5000 0.5000
Er 0.0000 0.0000 0.0000
Ga 0.2500 0.2500 0.2500
Hg 0.7500 0.7500 0.7500
CELL_PARAMETERS angstrom
-4.0108 0.0605 -3.4157
0.6868 -1.8055 -4.9016
-2.2647 -4.5195 -1.4840
```

Arrangement Q

The following is a DFT calculation (GGA-PBE) of a relaxed PrErGaHg crystal. Values from VASP.

M_tot	0.00	μB/atom

Quantum ESPRESSO input file:
```
&SYSTEM
  ibrav = 0, nat = 4, ntyp = 4
/
ATOMIC_SPECIES
Er 167.26 Er.upf
Pr 140.91 Pr.upf
Ga 69.72 Ga.upf
Hg 200.59 Hg.upf
ATOMIC_POSITIONS crystal
Er 0.0000 0.0000 0.3679
Pr 0.0000 0.0000 0.8393
Ga 0.5000 0.5000 0.5887
Hg 0.5000 0.5000 0.1320
CELL_PARAMETERS angstrom
3.6577 0.0000 0.0000
0.0000 3.6577 0.0000
0.0000 0.0000 7.6052
```

Least stable = arrangement P

Arrangement P

The following is a DFT calculation (GGA-PBE) of a relaxed ErScGaHg crystal. Values from VASP.

M_tot	0.00	μB/atom

Quantum ESPRESSO input file:
```
&SYSTEM
  ibrav = 0, nat = 4, ntyp = 4
/
ATOMIC_SPECIES
Er 167.26 Er.upf
Sc 44.96 Sc.upf
Ga 69.72 Ga.upf
Hg 200.59 Hg.upf
ATOMIC_POSITIONS crystal
Er 0.0000 0.0000 0.8416
Sc 0.0000 0.0000 0.3698
Ga 0.5000 0.5000 0.5918
Hg 0.5000 0.5000 0.1247
CELL_PARAMETERS angstrom
-1.6939 -0.6071 -3.0016
-1.7351 -2.6362 1.5124
-5.1796 4.5573 2.0013
```

Arrangement Q

The following is a DFT calculation (GGA-PBE) of a relaxed ErScGaHg crystal. Values from VASP.

M_tot	0.00	μB/atom

Quantum ESPRESSO input file:
```
&SYSTEM
  ibrav = 0, nat = 4, ntyp = 4
/
ATOMIC_SPECIES
Ga 69.72 Ga.upf
Er 167.26 Er.upf
Sc 44.96 Sc.upf
Hg 200.59 Hg.upf
ATOMIC_POSITIONS crystal
Ga 0.2500 0.2500 0.2500
Er 0.0000 0.0000 0.0000
Sc 0.5000 0.5000 0.5000
Hg 0.7500 0.7500 0.7500
CELL_PARAMETERS angstrom
-4.5929 -1.5339 -1.2953
-1.0762 -0.9047 -4.8113
-0.7220 -4.7071 -1.5645
```

Least stable = arrangement Q

Arrangement P

The following is a DFT calculation (GGA-PBE) of a relaxed HoErGa4 crystal. Values from VASP.

M_tot	0.00	μB/atom

Quantum ESPRESSO input file:
```
&SYSTEM
  ibrav = 0, nat = 6, ntyp = 3
/
ATOMIC_SPECIES
Ga 69.72 Ga.upf
Er 167.26 Er.upf
Ho 164.93 Ho.upf
ATOMIC_POSITIONS crystal
Ga 0.6667 0.3333 0.2492
Ga 0.3333 0.6667 0.7508
Ga 0.6667 0.3333 0.7508
Ga 0.3333 0.6667 0.2492
Er 0.0000 0.0000 0.0000
Ho 0.0000 0.0000 0.5000
CELL_PARAMETERS angstrom
-2.2336 -3.3940 -1.0863
2.0954 2.1658 -2.9338
6.5092 -4.6686 1.2026
```

Arrangement Q

The following is a DFT calculation (GGA-PBE) of a relaxed HoErGa4 crystal. Values from VASP.

M_tot	0.00	μB/atom

Quantum ESPRESSO input file:
```
&SYSTEM
  ibrav = 0, nat = 6, ntyp = 3
/
ATOMIC_SPECIES
Ga 69.72 Ga.upf
Er 167.26 Er.upf
Ho 164.93 Ho.upf
ATOMIC_POSITIONS crystal
Ga 0.1250 0.6250 0.6250
Ga 0.6250 0.6250 0.6250
Ga 0.6250 0.6250 0.1250
Ga 0.6250 0.1250 0.6250
Er 0.0000 0.0000 0.0000
Ho 0.2500 0.2500 0.2500
CELL_PARAMETERS angstrom
5.4834 0.0000 0.0000
2.7417 4.7487 0.0000
2.7417 1.5829 4.4771
```

Least stable = arrangement Q